1.
First-principles (PBE-GGA) data for an optimized crystal structure of LiZrRh2, as listed in Alexandria via LeMat-Bulk.

Output
Its calculated formation energy is -0.22 eV per atom. Its total energy is -6.509 eV/atom.

The structure in extended XYZ format:
```
8
Lattice="-3.381 3.381 2.837 3.381 -3.381 2.837 3.381 3.381 -2.837" Properties=species:S:1:pos:R:3 pbc="T T T"
Li 0.000 0.000 0.000
Li 0.000 3.381 1.418
Zr 3.381 0.000 1.418
Zr 0.000 0.000 2.837
Rh 5.072 1.550 -0.709
Rh 1.550 1.691 0.709
Rh -1.691 1.832 2.128
Rh 1.832 1.691 3.546
```

---

2.
First-principles (PBE-GGA) data for an optimized crystal structure of CdTc3, as listed in Alexandria via LeMat-Bulk.

Output
Its calculated formation energy is 0.53 eV per atom. The excess energy over the best structure of this formula in the dataset is 0.333 eV per atom. Its total energy is -7.469 eV/atom.

The structure in extended XYZ format:
```
4
Lattice="0.000 3.160 3.160 3.160 0.000 3.160 3.160 3.160 0.000" Properties=species:S:1:pos:R:3 pbc="T T T"
Cd 0.000 0.000 0.000
Tc 1.580 1.580 1.580
Tc 3.160 3.160 3.160
Tc 4.740 4.740 4.740
```